First-principles (PBEsol) data for a geometry-optimized ZrCo2Ni structure, as listed in Alexandria.

a = 2.964 Å, b = 3.305 Å, c = 5.299 Å
α = 90.00°, β = 90.00°, γ = 90.00°
Space group Pmm2 (No. 25)
Asymmetric unit:
Zr (0.000, 0.000, 0.000) x1
Co (0.000, 0.000, 0.493) x1
Co (0.500, 0.500, 0.285) x1
Ni (0.500, 0.500, 0.730) x1

Properties
The formation enthalpy at 0 K is -0.343 eV/f.u. The total energy is -31.064 eV/cell.


First-principles (PBEsol) data for a geometry-optimized CdCo2O structure, as listed in Alexandria.

a = 5.815 Å, b = 5.815 Å, c = 5.815 Å
α = 90.00°, β = 90.00°, γ = 90.00°
Space group Fm-3m (No. 225)
Asymmetric unit:
Cd (0.000, 0.000, 0.000) x4
Co (0.250, 0.250, 0.250) x8
O (0.000, 0.000, 0.500) x4

Properties
The total energy is -76.726 eV/cell. For the raw formation energy, the calculation gives 66.1 kJ per mole of atoms.


First-principles (PBEsol) data for a geometry-optimized TaMn4Mo structure, as listed in Alexandria.

a = 6.660 Å, b = 6.660 Å, c = 6.660 Å
α = 90.00°, β = 90.00°, γ = 90.00°
Space group F-43m (No. 216)
Asymmetric unit:
Ta (0.000, 0.000, 0.000) x4
Mn (0.126, 0.126, 0.626) x16
Mo (0.250, 0.250, 0.250) x4

Properties
The formation enthalpy at 0 K is -0.710 eV/f.u. The total energy is -256.294 eV/cell.


First-principles (PBEsol) data for a geometry-optimized BeRe2Pb structure, as listed in Alexandria.

a = 3.821 Å, b = 3.821 Å, c = 8.503 Å
α = 90.00°, β = 90.00°, γ = 90.00°
Space group I4/mmm (No. 139)
Asymmetric unit:
Be (0.000, 0.000, 0.000) x2
Re (0.000, 0.500, 0.250) x4
Pb (0.000, 0.000, 0.500) x2

Properties
As for the excess energy over the best structure of this formula in the dataset: 257 meV per atom. The formation enthalpy at 0 K is 4.101 eV/f.u. The total energy is -61.124 eV/cell.